{
  "formula": "PuTc2Mo",
  "functional": "PBE",
  "state": "relaxed",
  "delta_e_f_ev_per_atom": 0.127,
  "total_energy_ev_per_atom": -11.347,
  "lattice": [[3.1598, 0.0000, 0.0000], [0.0000, 4.6253, 0.0000], [0.0000, 0.0000, 4.6253]],
  "species": ["Tc", "Tc", "Mo", "Pu"],
  "frac_coords": [[0.0000, 0.5000, 0.0000], [0.0000, 0.0000, 0.5000], [0.5000, 0.0000, 0.0000], [0.5000, 0.5000, 0.5000]]
}

{
  "formula": "PuTcMo",
  "functional": "PBE",
  "state": "relaxed",
  "delta_e_f_ev_per_atom": 0.208,
  "total_energy_ev_per_atom": -11.635,
  "lattice": [[-0.5221, 2.2218, 1.7840], [-4.1272, -1.6432, 0.8386], [3.4969, -1.2487, 2.5786]],
  "species": ["Mo", "Tc", "Pu"],
  "frac_coords": [[0.9512, 0.0000, 0.0000], [0.3759, 0.3333, 0.6667], [0.6728, 0.6667, 0.3333]]
}

{
  "formula": "PuTc2Mo",
  "functional": "PBE",
  "state": "relaxed",
  "delta_e_f_ev_per_atom": 0.107,
  "total_energy_ev_per_atom": -11.367,
  "lattice": [[-2.6404, 0.7738, -1.5380], [-1.7190, -1.3415, 2.2762], [-0.2092, 5.9980, 3.3768]],
  "species": ["Mo", "Tc", "Tc", "Pu"],
  "frac_coords": [[0.5000, 0.5000, 0.0000], [0.0000, 0.0000, 0.2225], [0.0000, 0.0000, 0.7775], [0.5000, 0.5000, 0.5000]]
}

{
  "formula": "PuTc4Mo",
  "functional": "PBE",
  "state": "relaxed",
  "delta_e_f_ev_per_atom": 0.224,
  "total_energy_ev_per_atom": -10.880,
  "lattice": [[5.2395, 0.0000, 0.0000], [2.6198, 4.5375, 0.0000], [2.6198, 1.5125, 4.2780]],
  "species": ["Tc", "Tc", "Tc", "Tc", "Mo", "Pu"],
  "frac_coords": [[0.6244, 0.6244, 0.1267], [0.6244, 0.1267, 0.6244], [0.1267, 0.6244, 0.6244], [0.6244, 0.6244, 0.6244], [0.2500, 0.2500, 0.2500], [0.0000, 0.0000, 0.0000]]
}

{
  "formula": "PuTcMo2",
  "functional": "PBE",
  "state": "relaxed",
  "delta_e_f_ev_per_atom": 0.259,
  "total_energy_ev_per_atom": -11.331,
  "lattice": [[3.1895, 0.0000, 0.0000], [0.0000, 3.1895, 0.0000], [0.0000, 0.0000, 6.7168]],
  "species": ["Mo", "Mo", "Tc", "Pu"],
  "frac_coords": [[0.0000, 0.0000, 0.2331], [0.0000, 0.0000, 0.7669], [0.5000, 0.5000, 0.0000], [0.5000, 0.5000, 0.5000]]
}

{
  "formula": "PuTcMo",
  "functional": "PBE",
  "state": "relaxed",
  "delta_e_f_ev_per_atom": 0.198,
  "total_energy_ev_per_atom": -11.645,
  "lattice": [[-1.9539, -4.4910, -2.3370], [5.1221, 1.4531, 1.0893], [-0.9082, 0.3392, 5.2149]],
  "species": ["Pu", "Pu", "Tc", "Tc", "Mo", "Mo"],
  "frac_coords": [[0.2481, 0.0047, 0.2528], [0.7519, 0.9953, 0.7472], [0.6035, 0.6777, 0.2805], [0.3965, 0.3223, 0.7195], [0.8925, 0.3271, 0.2209], [0.1075, 0.6729, 0.7791]]
}

{
  "formula": "PuUTcMo",
  "functional": "PBE",
  "state": "relaxed",
  "delta_e_f_ev_per_atom": 0.220,
  "total_energy_ev_per_atom": -11.484,
  "lattice": [[4.7797, 0.0000, 0.0000], [2.3899, 4.1394, 0.0000], [2.3899, 1.3798, 3.9026]],
  "species": ["U", "Tc", "Mo", "Pu"],
  "frac_coords": [[0.7500, 0.7500, 0.7500], [0.5000, 0.5000, 0.5000], [0.0000, 0.0000, 0.0000], [0.2500, 0.2500, 0.2500]]
}

{
  "formula": "PuTcMoW",
  "functional": "PBE",
  "state": "relaxed",
  "delta_e_f_ev_per_atom": 0.155,
  "total_energy_ev_per_atom": -11.966,
  "lattice": [[4.5908, 0.0000, 0.0000], [2.2954, 3.9757, 0.0000], [2.2954, 1.3252, 3.7484]],
  "species": ["W", "Tc", "Pu", "Mo"],
  "frac_coords": [[0.0000, 0.0000, 0.0000], [0.2500, 0.2500, 0.2500], [0.5000, 0.5000, 0.5000], [0.7500, 0.7500, 0.7500]]
}

{
  "formula": "PuZrTcMo",
  "functional": "PBE",
  "state": "relaxed",
  "delta_e_f_ev_per_atom": 0.002,
  "total_energy_ev_per_atom": -11.017,
  "lattice": [[4.7189, 0.0000, 0.0000], [2.3595, 4.0867, 0.0000], [2.3595, 1.3622, 3.8530]],
  "species": ["Pu", "Tc", "Mo", "Zr"],
  "frac_coords": [[0.2500, 0.2500, 0.2500], [0.5000, 0.5000, 0.5000], [0.0000, 0.0000, 0.0000], [0.7500, 0.7500, 0.7500]]
}

{
  "formula": "PuTe2Mo",
  "functional": "PBE",
  "state": "relaxed",
  "raw_formation_energy_kcal_per_mol_atoms": 0.9,
  "total_energy_ev_per_atom": -7.821,
  "lattice": [[3.4646, 0.0000, 0.0000], [1.7323, 3.0005, 0.0000], [1.7323, 1.0002, 10.1164]],
  "species": ["Te", "Te", "Mo", "Pu"],
  "frac_coords": [[0.8955, 0.8955, 0.3134], [0.1045, 0.1045, 0.6866], [0.5000, 0.5000, 0.5000], [0.0000, 0.0000, 0.0000]]
}

Number 1: size of the total moment 0.963 μB/atom. Number 2: size of the total moment 1.414 μB/atom. Number 3: size of the total moment 1.040 μB/atom. Number 4: size of the total moment 0.766 μB/atom. Number 5: size of the total moment 1.058 μB/atom. Number 6: size of the total moment 1.416 μB/atom. Number 7: size of the total moment 1.200 μB/atom. Number 8: size of the total moment 1.000 μB/atom. Number 9: size of the total moment 0.896 μB/atom. Number 10: size of the total moment 1.635 μB/atom.